[1]
Below is a crystal of ReRu relaxed with PBEsol, with properties calculated at the SCAN level.

a b c (Å): 2.7163 5.1282 6.4002
angles (deg): 103.31 90.00 105.36
Positions (direct):
Re 0.3303 0.6606 0.6651
Re 0.3888 0.7775 0.2808
Re 0.0038 0.0076 0.9966
Ru 0.0558 0.1117 0.6096
Ru 0.7218 0.4436 0.9458
Ru 0.6661 0.3323 0.3354

Values from the calculation:
Space group ... Cm, No. 8
E ... -53.042 eV per atom
N(E_F) ... 1.43 states/eV/f.u.

=====

[2]
Below is a crystal of KBaCuPt2 relaxed with PBEsol, with properties calculated at the SCAN level.

a b c (Å): 4.8768 4.8768 5.2481
angles (deg): 90.00 90.00 90.00
Positions (direct):
Ba 0.0000 0.0000 0.5000
K 0.5000 0.5000 0.5000
Pt 0.5000 0.0000 0.0000
Pt 0.0000 0.5000 0.0000
Cu 0.0000 0.0000 0.0000

Values from the calculation:
Space group ... P4/mmm, No. 123
E ... -40.569 eV per atom
N(E_F) ... 1.93 states/eV/f.u.

=====

[3]
Below is a crystal of Al2FeBr relaxed with PBEsol, with properties calculated at the SCAN level.

a b c (Å): 3.0777 4.6336 5.7279
angles (deg): 102.79 90.00 109.40
Site moments in Bohr magnetons follow the coordinates.
Positions (direct):
Br 0.3943 0.7886 0.4607  0.00
Fe 0.7675 0.5350 0.1207  1.47
Al 0.2908 0.5817 0.8277  -0.04
Al 0.0474 0.0947 0.0910  -0.06

Values from the calculation:
Space group ... Cm, No. 8
E ... -13.159 eV per atom
N(E_F) ... 0.81 states/eV/f.u.
Uncorrected formation energy ... 0.114 eV per atom